The following is a DFT calculation (PBE-GGA) of crystalline KIn3Pd at its relaxed geometry.

For the offset from the most stable computed form, the calculation gives 18 meV per atom. For the electronic total energy, the calculation gives -3.12 eV/atom. The formation energy is -221.5 meV/atom. The value obtained for the density of states at the Fermi level is 9.03 states/eV/cell.

It has space group Cm (No. 8), with a = 12.502 Å, b = 7.367 Å, c = 7.419 Å, α = 90.00°, β = 123.95° and γ = 90.00°. The asymmetric unit holds K at (0.000, 0.000, 0.000), K at (0.089, 0.000, 0.555), In at (0.135, 0.500, 0.604), In at (0.250, 0.283, 0.052), In at (0.345, 0.209, 0.522), In at (0.432, 0.000, 0.088), Pd at (0.029, 0.500, 0.835) and Pd at (0.202, 0.500, 0.317).